Here is TaAlCuAg after structural relaxation from OQMD via LeMat-Bulk. Energies are from PBE.

Results
relative energy among the computed polymorphs = 58 meV/atom

CIF file:
```
data_TaAlCuAg
_cell_length_a 6.347
_cell_length_b 6.347
_cell_length_c 6.347
_cell_angle_alpha 90.00
_cell_angle_beta 90.00
_cell_angle_gamma 90.00
_symmetry_space_group_name_H-M 'F -4 3 m'
_symmetry_Int_Tables_number 216
_symmetry_space_group_name_Hall 'F -4 2 3'
loop_
_atom_site_label
_atom_site_fract_x
_atom_site_fract_y
_atom_site_fract_z
Ta1 0.000 0.000 0.000
Al1 0.250 0.250 0.250
Cu1 0.000 0.000 0.500
Ag1 0.250 0.250 0.750
```

Here is PmMoPd after structural relaxation from OQMD via LeMat-Bulk. Energies are from PBE.

Results
relative energy among the computed polymorphs = 0 meV/atom

CIF file:
```
data_PmMoPd
_cell_length_a 6.642
_cell_length_b 6.642
_cell_length_c 6.642
_cell_angle_alpha 90.00
_cell_angle_beta 90.00
_cell_angle_gamma 90.00
_symmetry_space_group_name_H-M 'F -4 3 m'
_symmetry_Int_Tables_number 216
_symmetry_space_group_name_Hall 'F -4 2 3'
loop_
_atom_site_label
_atom_site_fract_x
_atom_site_fract_y
_atom_site_fract_z
Pm1 0.000 0.000 0.000
Mo1 0.000 0.000 0.500
Pd1 0.250 0.250 0.750
```

Here is Pr2Sm2BI2Br3 after structural relaxation from OQMD via LeMat-Bulk. Energies are from PBE.

Results
raw total energy = -4.663 eV per atom

CIF file:
```
data_Pr2Sm2BI2Br3
_cell_length_a 19.150
_cell_length_b 4.106
_cell_length_c 8.585
_cell_angle_alpha 90.00
_cell_angle_beta 101.69
_cell_angle_gamma 90.00
_symmetry_space_group_name_H-M 'C 1 2/m 1'
_symmetry_Int_Tables_number 12
_symmetry_space_group_name_Hall '-C 2y'
loop_
_atom_site_label
_atom_site_fract_x
_atom_site_fract_y
_atom_site_fract_z
Pr1 0.001 0.000 0.287
Sm1 0.138 0.500 0.572
B1 0.000 0.500 0.500
I1 0.175 0.000 0.317
Br1 0.000 0.500 0.000
Br2 0.160 0.000 0.823
```

Here is GaMo after structural relaxation from OQMD via LeMat-Bulk. Energies are from PBE.

Results
relative energy among the computed polymorphs = 0 meV/atom

CIF file:
```
data_GaMo
_cell_length_a 2.8689
_cell_length_b 2.8689
_cell_length_c 4.3720
_cell_angle_alpha 90.00
_cell_angle_beta 90.00
_cell_angle_gamma 120.00
_symmetry_space_group_name_H-M 'P -6 m 2'
_symmetry_Int_Tables_number 187
_symmetry_space_group_name_Hall 'P -6 2'
loop_
_atom_site_label
_atom_site_fract_x
_atom_site_fract_y
_atom_site_fract_z
Ga1 0.0000 0.0000 0.0000
Mo1 0.6667 0.3333 0.5000
```